Entry 1:
DFT (PBE) results for a relaxed structure of Ba2Tl.

Unit cell a=4.3025 b=4.3025 c=32.4049 alpha=90.00 beta=90.00 gamma=90.00
Closest atoms and distances in Å follow each position.
Space group I4_1/amd (No. 141, origin choice 2)
Symmetry-distinct sites (fractional):
1 Ba 0.0000 0.2500 0.3129  4 Tl 3.65, 1 Ba 4.03
2 Tl 0.0000 0.2500 0.8750  8 Ba 3.65

Calculated values
- N(E_F) (states/eV/f.u.) = 2.12
- crystal system = tetragonal

Entry 2:
DFT (PBE) results for a relaxed structure of Ba5Tl.

Unit cell a=11.1137 b=11.1137 c=11.1137 alpha=90.00 beta=90.00 gamma=90.00
Closest atoms and distances in Å follow each position.
Space group F-43m (No. 216)
Symmetry-distinct sites (fractional):
1 Ba 0.0000 0.0000 0.0000  12 Ba 4.61, 4 Tl 4.81
2 Ba 0.1238 0.1238 0.6238  6 Ba 3.89-3.97
3 Tl 0.2500 0.2500 0.2500  16 Ba 4.60-4.81

Calculated values
- N(E_F) (states/eV/f.u.) = 11.39
- crystal system = cubic
- offset from the most stable computed form (kJ/mol of atoms) = 33.8

Entry 3:
DFT (PBE) results for a relaxed structure of BaTl.

Unit cell a=6.9730 b=6.9730 c=7.2805 alpha=90.00 beta=90.00 gamma=90.00
Closest atoms and distances in Å follow each position.
Space group P4_2/mnm (No. 136)
Symmetry-distinct sites (fractional):
1 Ba 0.1922 0.1922 0.0000  6 Tl 3.46-3.78, 1 Ba 3.79
2 Tl 0.1688 0.1688 0.5000  1 Tl 3.33, 4 Ba 3.46-3.65

Calculated values
- N(E_F) (states/eV/f.u.) = 1.40
- crystal system = tetragonal

Entry 4:
DFT (PBE) results for a relaxed structure of BaTl4.

Unit cell a=11.2273 b=11.2273 c=11.2273 alpha=90.00 beta=90.00 gamma=90.00
Closest atoms and distances in Å follow each position.
Space group I-43m (No. 217)
Symmetry-distinct sites (fractional):
1 Ba 0.2173 0.2173 0.2173  4 Tl 3.46-3.75
2 Tl 0.0000 0.0000 0.3482  7 Tl 3.20-3.41
3 Tl 0.0000 0.2500 0.5000  4 Tl 3.28
4 Tl 0.1050 0.1050 0.8950  6 Tl 3.20-3.33, 1 Ba 3.46

Calculated values
- N(E_F) (states/eV/f.u.) = 3.05
- crystal system = cubic

Entry 5:
DFT (PBE) results for a relaxed structure of BaTl2.

Unit cell a=5.0401 b=5.0401 c=18.3999 alpha=90.00 beta=90.00 gamma=90.00
Closest atoms and distances in Å follow each position.
Space group I4_1/amd (No. 141, origin choice 2)
Symmetry-distinct sites (fractional):
1 Ba 0.0000 0.2500 0.3750  12 Tl 3.87-3.99
2 Tl 0.0000 0.2500 0.7929  3 Tl 2.97-3.02

Calculated values
- N(E_F) (states/eV/f.u.) = 2.80
- crystal system = tetragonal

Entry 6:
DFT (PBE) results for a relaxed structure of BaTl2.

Unit cell a=6.4583 b=6.4583 c=11.4524 alpha=90.00 beta=90.00 gamma=90.00
Closest atoms and distances in Å follow each position.
Space group I4/mcm (No. 140)
Symmetry-distinct sites (fractional):
1 Ba 0.0000 0.0000 0.2500  8 Tl 3.73
2 Tl 0.1698 0.3302 0.0000  5 Tl 3.10-3.39

Calculated values
- N(E_F) (states/eV/f.u.) = 1.62
- crystal system = tetragonal

Entry 7:
DFT (PBE) results for a relaxed structure of BaTl2.

Unit cell a=5.3617 b=5.3617 c=8.6435 alpha=90.00 beta=90.00 gamma=120.00
Closest atoms and distances in Å follow each position.
Space group P6_3/mmc (No. 194)
Symmetry-distinct sites (fractional):
1 Ba 0.0000 0.0000 0.2500  6 Tl 3.56
2 Tl 0.3333 0.6667 0.0457  4 Tl 3.19-3.53, 3 Ba 3.56

Calculated values
- N(E_F) (states/eV/f.u.) = 0.71
- crystal system = hexagonal

Entry 8:
DFT (PBE) results for a relaxed structure of BaTl2.

Unit cell a=8.0109 b=8.0109 c=8.0109 alpha=90.00 beta=90.00 gamma=90.00
Closest atoms and distances in Å follow each position.
Space group Fm-3m (No. 225)
Symmetry-distinct sites (fractional):
1 Ba 0.0000 0.0000 0.0000  8 Tl 3.47
2 Tl 0.2500 0.2500 0.2500  4 Ba 3.47

Calculated values
- N(E_F) (states/eV/f.u.) = 3.79
- crystal system = cubic

Entry 9:
DFT (PBE) results for a relaxed structure of BaTl12.

Unit cell a=11.3862 b=11.3862 c=6.5641 alpha=90.00 beta=90.00 gamma=90.00
Closest atoms and distances in Å follow each position.
Space group I4/mmm (No. 139)
Symmetry-distinct sites (fractional):
1 Ba 0.0000 0.0000 0.0000  20 Tl 4.08-4.35
2 Tl 0.0000 0.2121 0.5000  10 Tl 3.31-3.68
3 Tl 0.0000 0.3582 0.0000  5 Tl 3.23-3.51
4 Tl 0.2500 0.2500 0.2500  10 Tl 3.28-3.51

Calculated values
- N(E_F) (states/eV/f.u.) = 6.31
- crystal system = tetragonal

Entry 10:
DFT (PBE) results for a relaxed structure of Ba3Tl.

Unit cell a=4.4428 b=6.5004 c=14.0384 alpha=90.00 beta=90.00 gamma=90.00
Closest atoms and distances in Å follow each position.
Space group Immm (No. 71)
Symmetry-distinct sites (fractional):
1 Ba 0.0000 0.0000 0.0000  4 Tl 3.94, 4 Ba 4.29
2 Ba 0.0000 0.5000 0.1990  2 Tl 3.57
3 Tl 0.0000 0.0000 0.5000  8 Ba 3.57-3.94

Calculated values
- N(E_F) (states/eV/f.u.) = 4.97
- crystal system = orthorhombic

Entry 11:
DFT (PBE) results for a relaxed structure of BaTl7.

Unit cell a=13.4326 b=10.5763 c=3.8986 alpha=90.00 beta=106.58 gamma=90.00
Closest atoms and distances in Å follow each position.
Space group C2/m (No. 12)
Symmetry-distinct sites (fractional):
1 Ba 0.0000 0.0000 0.0000  12 Tl 3.71-3.97, 2 Ba 3.90
2 Tl 0.0000 0.5000 0.0000  10 Tl 3.28-3.51
3 Tl 0.1364 0.2807 0.6372  8 Tl 3.28-3.58
4 Tl 0.2455 0.0000 0.7380  7 Tl 3.28-3.41

Calculated values
- N(E_F) (states/eV/f.u.) = 4.17
- crystal system = monoclinic
- offset from the most stable computed form (kJ/mol of atoms) = 0.8

Entry 12:
DFT (PBE) results for a relaxed structure of BaTl.

Unit cell a=4.3452 b=4.3452 c=9.2821 alpha=90.00 beta=90.00 gamma=90.00
Closest atoms and distances in Å follow each position.
Space group P4/nmm (No. 129, origin choice 2)
Symmetry-distinct sites (fractional):
1 Ba 0.2500 0.2500 0.1949  5 Tl 3.66-3.67
2 Tl 0.2500 0.2500 0.5892  4 Tl 3.49, 5 Ba 3.66-3.67

Calculated values
- N(E_F) (states/eV/f.u.) = 1.94
- crystal system = tetragonal

Entry 13:
DFT (PBE) results for a relaxed structure of BaTl2.

Unit cell a=14.5743 b=4.8481 c=7.1961 alpha=90.00 beta=119.33 gamma=90.00
Closest atoms and distances in Å follow each position.
Space group C2/m (No. 12)
Symmetry-distinct sites (fractional):
1 Ba 0.1722 0.0000 0.1715  8 Tl 3.54-3.79
2 Tl 0.0008 0.5000 0.7351  5 Tl 3.35-3.37
3 Tl 0.1250 0.0000 0.6241  5 Tl 3.18-3.36, 2 Ba 3.54

Calculated values
- N(E_F) (states/eV/f.u.) = 2.48
- crystal system = monoclinic

Entry 14:
DFT (PBE) results for a relaxed structure of Ba3Tl.

Unit cell a=5.7033 b=5.7033 c=5.7033 alpha=90.00 beta=90.00 gamma=90.00
Closest atoms and distances in Å follow each position.
Space group Pm-3m (No. 221)
Symmetry-distinct sites (fractional):
1 Ba 0.0000 0.0000 0.5000  8 Ba 4.03, 4 Tl 4.03
2 Tl 0.5000 0.5000 0.5000  12 Ba 4.03

Calculated values
- N(E_F) (states/eV/f.u.) = 6.85
- crystal system = cubic

Entry 15:
DFT (PBE) results for a relaxed structure of Ba4Tl5.

Unit cell a=11.2035 b=11.2035 c=5.6549 alpha=90.00 beta=90.00 gamma=90.00
Closest atoms and distances in Å follow each position.
Space group I4/mmm (No. 139)
Symmetry-distinct sites (fractional):
1 Ba 0.0000 0.3024 0.0000  5 Tl 3.39-3.71
2 Tl 0.0000 0.0000 0.0000  4 Ba 3.39, 8 Tl 3.77
3 Tl 0.1570 0.1570 0.5000  4 Tl 3.52-3.77, 6 Ba 3.71-3.87

Calculated values
- N(E_F) (states/eV/f.u.) = 9.81
- crystal system = tetragonal

Entry 16:
DFT (PBE) results for a relaxed structure of BaTl4.

Unit cell a=6.4780 b=6.4780 c=6.4780 alpha=90.00 beta=90.00 gamma=90.00
Closest atoms and distances in Å follow each position.
Space group Pm-3m (No. 221)
Symmetry-distinct sites (fractional):
1 Ba 0.0000 0.0000 0.0000  6 Tl 3.24
2 Tl 0.0000 0.0000 0.5000  2 Ba 3.24
3 Tl 0.5000 0.5000 0.5000  12 Tl 4.58

Calculated values
- N(E_F) (states/eV/f.u.) = 7.79
- crystal system = cubic

Entry 17:
DFT (PBE) results for a relaxed structure of Ba3Tl.

Unit cell a=5.7385 b=5.7385 c=11.1535 alpha=90.00 beta=90.00 gamma=90.00
Closest atoms and distances in Å follow each position.
Space group I4/mmm (No. 139)
Symmetry-distinct sites (fractional):
1 Ba 0.0000 0.0000 0.0000  8 Ba 4.00, 4 Tl 4.06
2 Ba 0.0000 0.5000 0.2500  8 Ba 4.00-4.06, 4 Tl 4.00
3 Tl 0.0000 0.0000 0.5000  12 Ba 4.00-4.06

Calculated values
- N(E_F) (states/eV/f.u.) = 4.96
- crystal system = tetragonal

Entry 18:
DFT (PBE) results for a relaxed structure of Ba3Tl.

Unit cell a=4.5579 b=5.7610 c=7.8890 alpha=90.00 beta=104.94 gamma=90.00
Closest atoms and distances in Å follow each position.
Space group P2/m (No. 10)
Symmetry-distinct sites (fractional):
1 Ba 0.0000 0.0000 0.0000  2 Tl 3.94, 8 Ba 4.24-4.29
2 Ba 0.3844 0.5000 0.7154  2 Tl 3.57, 1 Ba 3.81
3 Tl 0.0000 0.0000 0.5000  6 Ba 3.57-3.94

Calculated values
- N(E_F) (states/eV/f.u.) = 4.39
- crystal system = monoclinic

Entry 19:
DFT (PBE) results for a relaxed structure of BaTl.

Unit cell a=10.2104 b=10.2104 c=5.9061 alpha=90.00 beta=90.00 gamma=120.00
Closest atoms and distances in Å follow each position.
Space group P6_3/mmc (No. 194)
Symmetry-distinct sites (fractional):
1 Ba 0.1848 0.3697 0.2500  6 Tl 3.56-3.76
2 Tl 0.1254 0.5627 0.7500  2 Tl 3.18, 2 Ba 3.56

Calculated values
- N(E_F) (states/eV/f.u.) = 1.29
- crystal system = hexagonal

Entry 20:
DFT (PBE) results for a relaxed structure of BaTl.

Unit cell a=10.3981 b=10.3981 c=10.3981 alpha=90.00 beta=90.00 gamma=90.00
Closest atoms and distances in Å follow each position.
Space group I-43m (No. 217)
Symmetry-distinct sites (fractional):
1 Ba 0.1996 0.1996 0.1996  4 Tl 3.41-3.48
2 Tl 0.1109 0.1109 0.8891  3 Tl 3.26, 4 Ba 3.41-3.48

Calculated values
- crystal system = cubic

Entry 21:
DFT (PBE) results for a relaxed structure of BaTl.

Unit cell a=4.2879 b=5.9390 c=12.2283 alpha=90.00 beta=90.00 gamma=90.00
Closest atoms and distances in Å follow each position.
Space group Imma (No. 74)
Symmetry-distinct sites (fractional):
1 Ba 0.0000 0.2500 0.1001  6 Tl 3.73-3.80, 2 Ba 3.85
2 Tl 0.0000 0.2500 0.6560  2 Tl 3.14

Calculated values
- N(E_F) (states/eV/f.u.) = 1.77
- crystal system = orthorhombic

Entry 22:
DFT (PBE) results for a relaxed structure of Ba2Tl.

Unit cell a=8.5559 b=8.5559 c=8.0345 alpha=90.00 beta=90.00 gamma=90.00
Closest atoms and distances in Å follow each position.
Space group I4/mcm (No. 140)
Symmetry-distinct sites (fractional):
1 Ba 0.1902 0.3098 0.0000  4 Tl 3.70
2 Tl 0.0000 0.0000 0.2500  8 Ba 3.70, 2 Tl 4.02

Calculated values
- N(E_F) (states/eV/f.u.) = 3.20
- crystal system = tetragonal

Entry 23:
DFT (PBE) results for a relaxed structure of Ba3Tl.

Unit cell a=12.6055 b=12.6055 c=4.2116 alpha=90.00 beta=90.00 gamma=120.00
Closest atoms and distances in Å follow each position.
Space group R-3m (No. 166, hexagonal axes)
Symmetry-distinct sites (fractional):
1 Ba 0.0000 0.5000 0.0000  2 Tl 3.90, 6 Ba 3.90-4.21
2 Tl 0.0000 0.0000 0.0000  6 Ba 3.90, 2 Tl 4.21

Calculated values
- N(E_F) (states/eV/f.u.) = 5.30
- crystal system = trigonal

Entry 24:
DFT (PBE) results for a relaxed structure of BaTl.

Unit cell a=6.2120 b=6.2120 c=13.8935 alpha=90.00 beta=90.00 gamma=120.00
Closest atoms and distances in Å follow each position.
Space group R-3m (No. 166, hexagonal axes)
Symmetry-distinct sites (fractional):
1 Ba 0.0000 0.0000 0.1330  4 Tl 3.46-3.77, 4 Ba 3.70-3.71
2 Tl 0.0000 0.0000 0.3820  1 Tl 3.28, 1 Ba 3.46

Calculated values
- N(E_F) (states/eV/f.u.) = 1.51
- crystal system = trigonal

Entry 25:
DFT (PBE) results for a relaxed structure of BaTmTl2.

Unit cell a=3.9600 b=3.9600 c=8.2101 alpha=90.00 beta=90.00 gamma=90.00
Closest atoms and distances in Å follow each position.
Space group P4/mmm (No. 123)
Symmetry-distinct sites (fractional):
1 Ba 0.0000 0.0000 0.0000  8 Tl 3.69, 4 Ba 3.96, 2 Tm 4.11
2 Tm 0.0000 0.0000 0.5000  8 Tl 3.28
3 Tl 0.5000 0.5000 0.2925  4 Tm 3.28, 1 Tl 3.41

Calculated values
- N(E_F) (states/eV/f.u.) = 2.57
- crystal system = tetragonal

Entry 26:
DFT (PBE) results for a relaxed structure of BaTmTl.

Unit cell a=5.2342 b=5.2342 c=8.2386 alpha=90.00 beta=90.00 gamma=90.00
Closest atoms and distances in Å follow each position.
Space group P4/nmm (No. 129, origin choice 2)
Symmetry-distinct sites (fractional):
1 Ba 0.2500 0.2500 0.1407  5 Tl 3.55-3.90, 4 Tm 3.95
2 Tm 0.2500 0.7500 0.5000  4 Tl 3.14
3 Tl 0.2500 0.2500 0.7104  4 Tm 3.14

Calculated values
- N(E_F) (states/eV/f.u.) = 1.19
- crystal system = tetragonal
- offset from the most stable computed form (kJ/mol of atoms) = 0.0

Number 1: E_form -0.262 eV per atom. Number 2: E_form 0.214 eV per atom. Number 3: E_form -0.219 eV per atom. Number 4: E_form -0.184 eV per atom. Number 5: E_form -0.281 eV per atom. Number 6: E_form -0.198 eV per atom. Number 7: E_form -0.387 eV per atom. Number 8: E_form 0.018 eV per atom. Number 9: E_form -0.062 eV per atom. Number 10: E_form -0.192 eV per atom. Number 11: E_form -0.095 eV per atom. Number 12: E_form -0.208 eV per atom. Number 13: E_form -0.331 eV per atom. Number 14: E_form -0.120 eV per atom. Number 15: E_form -0.230 eV per atom. Number 16: E_form 0.548 eV per atom. Number 17: E_form -0.098 eV per atom. Number 18: E_form -0.116 eV per atom. Number 19: E_form -0.323 eV per atom. Number 20: E_form -0.017 eV per atom. Number 21: E_form -0.332 eV per atom. Number 22: E_form -0.269 eV per atom. Number 23: E_form -0.030 eV per atom. Number 24: E_form -0.193 eV per atom. Number 25: E_form -0.348 eV per atom. Number 26: E_form -0.282 eV per atom.